[1]
Crystalline Zr2Nb2C3 at its relaxed geometry. Source: OQMD, functional PBE.

electronic total energy: -9.964 eV per atom

Lattice parameters (Å, degrees): 10.981 3.282 5.566 90.00 103.80 90.00
Space group C2/m (No. 12)
Symmetry-distinct sites (fractional):
Zr 0.120 0.000 0.364 [4 per cell]
Nb 0.140 0.500 0.855 [4 per cell]
C 0.000 0.500 0.500 [2 per cell]
C 0.249 0.000 0.754 [4 per cell]

[2]
Crystalline NaHoNO at its relaxed geometry. Source: OQMD, functional PBE.

excess energy over the best structure of this formula in the dataset: 44 meV/atom

Lattice parameters (Å, degrees): 4.637 4.102 6.719 90.00 90.00 90.00
Space group Pmma (No. 51)
Symmetry-distinct sites (fractional):
Na 0.250 0.000 0.175 [2 per cell]
Ho 0.250 0.500 0.683 [2 per cell]
N 0.250 0.000 0.826 [2 per cell]
O 0.250 0.500 0.359 [2 per cell]

[3]
Crystalline Gd2DyAl3NiAg2 at its relaxed geometry. Source: OQMD, functional PBE.

electronic total energy: -4.526 eV per atom

Lattice parameters (Å, degrees): 4.138 12.497 7.209 90.00 90.00 90.00
Space group Amm2 (No. 38)
Symmetry-distinct sites (fractional):
Gd 0.000 0.199 0.000 [4 per cell]
Dy 0.000 0.000 0.596 [2 per cell]
Al 0.500 0.000 0.978 [2 per cell]
Al 0.500 0.111 0.310 [4 per cell]
Ni 0.000 0.000 0.201 [2 per cell]
Ag 0.500 0.165 0.698 [4 per cell]

[4]
Crystalline PaGeMo at its relaxed geometry. Source: OQMD, functional PBE.

electronic total energy: -7.469 eV per atom

Lattice parameters (Å, degrees): 6.521 6.521 6.521 90.00 90.00 90.00
Space group F-43m (No. 216)
Symmetry-distinct sites (fractional):
Pa 0.000 0.000 0.000 [4 per cell]
Ge 0.250 0.250 0.750 [4 per cell]
Mo 0.250 0.250 0.250 [4 per cell]

[5]
Crystalline UCl2 at its relaxed geometry. Source: OQMD, functional PBE.

electronic total energy: -6.179 eV per atom

Lattice parameters (Å, degrees): 7.148 7.148 3.315 90.00 90.00 90.00
Space group P4_2/mnm (No. 136)
Symmetry-distinct sites (fractional):
U 0.000 0.000 0.000 [2 per cell]
Cl 0.225 0.225 0.500 [4 per cell]

[6]
Crystalline BaTmNb at its relaxed geometry. Source: OQMD, functional PBE.

excess energy over the best structure of this formula in the dataset: 0 meV/atom

Lattice parameters (Å, degrees): 7.584 7.584 7.584 90.00 90.00 90.00
Space group F-43m (No. 216)
Symmetry-distinct sites (fractional):
Ba 0.000 0.000 0.000 [4 per cell]
Tm 0.000 0.000 0.500 [4 per cell]
Nb 0.250 0.250 0.250 [4 per cell]

The evaluated total magnetization for the records listed, in turn: 0.00; 2.00; 0.00; 0.05; 7.34; 13.17 μB/cell.
The evaluated ρ for the records listed, in turn: 6.9; 5.7; 7.4; 9.6; 6.1; 6.1 g/cm3.